Compound: Na3CoGe
Source: Alexandria
Functional: PBE
Structure: relaxed

The volume comes out at 34.6 Å³/atom. The crystal system is cubic. Its formation energy is 0.887 eV/atom. The spin magnetization is 4.0 μB/cell. As for the energy above the most stable polymorph in this dataset: 0 meV per atom.

The structure belongs to space group Pm-3m (No. 221); the cell edges are 5.5694, 5.5694 and 5.5694 Å and the angles 90.00°, 90.00° and 90.00°. The distinct sites, in fractional coordinates, are Na at (0.0000, 0.0000, 0.5000), Co at (0.5000, 0.5000, 0.5000) and Ge at (0.0000, 0.0000, 0.0000).

=====

Compound: Ba2LiAlF
Source: Alexandria
Functional: PBE
Structure: relaxed

The volume comes out at 28.7 Å³/atom. The crystal system is tetragonal. The spin magnetization is 0.0 μB/cell. Its calculated total energy is -3.40 eV/atom.

The structure belongs to space group P4/mmm (No. 123); the cell edges are 5.7942, 5.7942 and 4.2702 Å and the angles 90.00°, 90.00° and 90.00°. The distinct sites, in fractional coordinates, are Ba at (0.0000, 0.5000, 0.0000), Li at (0.0000, 0.0000, 0.5000), Al at (0.5000, 0.5000, 0.5000) and F at (0.0000, 0.0000, 0.0000).

=====

Compound: Tb6Dy3Th2
Source: Alexandria
Functional: PBE
Structure: relaxed

The volume comes out at 31.9 Å³/atom. The crystal system is trigonal. Its formation energy is 0.019 eV/atom. The spin magnetization is 0.0 μB/cell.

The structure belongs to space group R-3m (No. 166, hexagonal axes); the cell edges are 3.5673, 3.5673 and 95.5236 Å and the angles 90.00°, 90.00° and 120.00°. The distinct sites, in fractional coordinates, are Tb at (0.0000, 0.0000, 0.0913), Tb at (0.0000, 0.0000, 0.1825), Tb at (0.0000, 0.0000, 0.3636), Dy at (0.0000, 0.0000, 0.0000), Dy at (0.0000, 0.0000, 0.2729) and Th at (0.0000, 0.0000, 0.4545).

=====

Compound: ScZn2Tc
Source: Alexandria
Functional: PBE
Structure: relaxed

The volume comes out at 15.8 Å³/atom. The crystal system is cubic. Its formation energy is -0.100 eV/atom. The spin magnetization is 0.0 μB/cell. As for the energy above the most stable polymorph in this dataset: 140 meV per atom.

The structure belongs to space group Fm-3m (No. 225); the cell edges are 6.3243, 6.3243 and 6.3243 Å and the angles 90.00°, 90.00° and 90.00°. The distinct sites, in fractional coordinates, are Sc at (0.0000, 0.0000, 0.0000), Zn at (0.2500, 0.2500, 0.2500) and Tc at (0.0000, 0.0000, 0.5000).